## Pm4HgRh3 (PBE)

Data for a geometry-optimized Pm4HgRh3 structure.

Cell lengths 5.042, 5.042, 7.285 Å; angles 90.00, 90.00, 90.00 degrees
Space group P4/mmm (No. 123)
Unique sites:
Pm1 0.000 0.500 0.238
Hg1 0.000 0.000 0.500
Rh1 0.000 0.000 0.000
Rh2 0.500 0.500 0.000
Rh3 0.500 0.500 0.500

Computed properties:
The magnetization comes out at 0.0000 μB/atom. For the calculated volume, the calculation gives 23.15 Å³/atom. The calculation puts the calculated formation energy at -0.6063 eV per atom.



## Pm5HgRh2 (PBE)

Data for a geometry-optimized Pm5HgRh2 structure.

Cell lengths 7.968, 7.968, 13.641 Å; angles 90.00, 90.00, 90.00 degrees
Space group I4/mcm (No. 140)
Unique sites:
Pm1 0.000 0.000 0.000
Pm2 0.162 0.338 0.135
Hg1 0.000 0.000 0.250
Rh1 0.137 0.363 0.500

Computed properties:
The magnetization comes out at 0.0000 μB/atom. The polymorph energy (0 for the lowest one) is 0 meV/atom. For the calculated volume, the calculation gives 27.06 Å³/atom. The calculation puts the calculated formation energy at -0.5490 eV per atom.



## PmHgRh2 (PBE)

Data for a geometry-optimized PmHgRh2 structure.

Cell lengths 6.745, 6.745, 6.745 Å; angles 90.00, 90.00, 90.00 degrees
Space group Fm-3m (No. 225)
Unique sites:
Pm1 0.000 0.000 0.000
Hg1 0.000 0.000 0.500
Rh1 0.250 0.250 0.250

Computed properties:
The magnetization comes out at 0.0000 μB/atom. The polymorph energy (0 for the lowest one) is 57 meV/atom. For the calculated volume, the calculation gives 19.18 Å³/atom. The calculation puts the calculated formation energy at -0.4093 eV per atom.



## Pm5Hg2Rh (PBE)

Data for a geometry-optimized Pm5Hg2Rh structure.

Cell lengths 7.714, 12.126, 4.920 Å; angles 90.00, 90.00, 90.00 degrees
Space group Pbam (No. 55)
Unique sites:
Pm1 0.000 0.000 0.000
Pm2 0.143 0.295 0.000
Pm3 0.179 0.581 0.500
Hg1 0.077 0.837 0.500
Rh1 0.000 0.500 0.000

Computed properties:
The magnetization comes out at 0.0000 μB/atom. The polymorph energy (0 for the lowest one) is 0 meV/atom. For the calculated volume, the calculation gives 28.76 Å³/atom. The calculation puts the calculated formation energy at -0.4488 eV per atom.



## PmHgRh2 (PBE)

Data for a geometry-optimized PmHgRh2 structure.

Cell lengths 3.474, 3.474, 6.419 Å; angles 90.00, 90.00, 90.00 degrees
Space group P4/mmm (No. 123)
Unique sites:
Pm1 0.000 0.000 0.000
Hg1 0.000 0.000 0.500
Rh1 0.500 0.500 0.264

Computed properties:
The magnetization comes out at 0.0000 μB/atom. The polymorph energy (0 for the lowest one) is 148 meV/atom. For the calculated volume, the calculation gives 19.37 Å³/atom. The calculation puts the calculated formation energy at -0.3185 eV per atom.



## Pm3HgRh3 (PBE)

Data for a geometry-optimized Pm3HgRh3 structure.

Cell lengths 9.0012, 9.0012, 4.6503 Å; angles 90.00, 90.00, 120.00 degrees
Space group P6_3/m (No. 176)
Unique sites:
Pm1 0.0748 0.3989 0.2500
Hg1 0.3333 0.6667 0.7500
Rh1 0.0333 0.1938 0.7500

Computed properties:
The magnetization comes out at 0.0000 μB/atom. The polymorph energy (0 for the lowest one) is 141 meV/atom. For the calculated volume, the calculation gives 23.31 Å³/atom. The calculation puts the calculated formation energy at -0.5106 eV per atom.



## Pm8Hg2Rh (PBE)

Data for a geometry-optimized Pm8Hg2Rh structure.

Cell lengths 7.880, 16.324, 6.372 Å; angles 90.00, 124.04, 90.00 degrees
Space group Cm (No. 8)
Unique sites:
Pm1 0.000 0.000 0.000
Pm2 0.000 0.113 0.525
Pm3 0.043 0.386 0.891
Pm4 0.049 0.500 0.382
Pm5 0.270 0.195 0.223
Hg1 0.275 0.283 0.716
Rh1 0.274 0.000 0.515

Computed properties:
The magnetization comes out at 0.0000 μB/atom. The polymorph energy (0 for the lowest one) is 34 meV/atom. For the calculated volume, the calculation gives 30.87 Å³/atom. The calculation puts the calculated formation energy at -0.2583 eV per atom.



## Pm3Hg4Rh4 (PBE)

Data for a geometry-optimized Pm3Hg4Rh4 structure.

Cell lengths 3.894, 7.977, 15.611 Å; angles 90.00, 90.00, 90.00 degrees
Space group Immm (No. 71)
Unique sites:
Pm1 0.000 0.000 0.000
Pm2 0.000 0.500 0.114
Hg1 0.000 0.311 0.335
Rh1 0.000 0.000 0.248
Rh2 0.000 0.195 0.500

Computed properties:
The magnetization comes out at 0.0000 μB/atom. For the calculated volume, the calculation gives 22.04 Å³/atom. The calculation puts the calculated formation energy at -0.3897 eV per atom.



## Pm2Hg3Rh (PBE)

Data for a geometry-optimized Pm2Hg3Rh structure.

Cell lengths 3.570, 4.938, 8.389 Å; angles 90.00, 90.00, 90.00 degrees
Space group Pmm2 (No. 25)
Unique sites:
Pm1 0.000 0.000 0.000
Pm2 0.000 0.500 0.426
Hg1 0.500 0.000 0.605
Hg2 0.500 0.500 0.119
Hg3 0.500 0.500 0.779
Rh1 0.500 0.000 0.274

Computed properties:
The magnetization comes out at 0.0000 μB/atom. For the calculated volume, the calculation gives 24.65 Å³/atom. The calculation puts the calculated formation energy at -0.4587 eV per atom.



## Pm7HgRh4 (PBE)

Data for a geometry-optimized Pm7HgRh4 structure.

Cell lengths 13.724, 5.699, 9.774 Å; angles 90.00, 124.95, 90.00 degrees
Space group C2/m (No. 12)
Unique sites:
Pm1 0.000 0.000 0.000
Pm2 0.078 0.500 0.374
Pm3 0.175 0.000 0.624
Pm4 0.206 0.500 0.883
Hg1 0.000 0.500 0.000
Rh1 0.065 0.000 0.776
Rh2 0.204 0.000 0.340

Computed properties:
The magnetization comes out at 0.0000 μB/atom. For the calculated volume, the calculation gives 26.11 Å³/atom. The calculation puts the calculated formation energy at -0.4046 eV per atom.



## Pm3Hg2Rh2 (PBE)

Data for a geometry-optimized Pm3Hg2Rh2 structure.

Cell lengths 3.944, 22.725, 3.839 Å; angles 90.00, 90.00, 90.00 degrees
Space group Cmmm (No. 65)
Unique sites:
Pm1 0.000 0.000 0.000
Pm2 0.000 0.174 0.000
Hg1 0.000 0.417 0.500
Rh1 0.000 0.290 0.500

Computed properties:
The magnetization comes out at 0.0215 μB/atom. For the calculated volume, the calculation gives 24.57 Å³/atom. The calculation puts the calculated formation energy at -0.5722 eV per atom.



## PmHgRh (PBE)

Data for a geometry-optimized PmHgRh structure.

Cell lengths 3.924, 17.426, 4.050 Å; angles 90.00, 90.00, 90.00 degrees
Space group Cmcm (No. 63)
Unique sites:
Pm1 0.000 0.098 0.250
Hg1 0.000 0.292 0.250
Rh1 0.000 0.452 0.250

Computed properties:
The magnetization comes out at 0.0000 μB/atom. The polymorph energy (0 for the lowest one) is 0 meV/atom. For the calculated volume, the calculation gives 23.08 Å³/atom. The calculation puts the calculated formation energy at -0.5951 eV per atom.



## Pm12HgRh6 (PBE)

Data for a geometry-optimized Pm12HgRh6 structure.

Cell lengths 10.123, 10.123, 10.123 Å; angles 90.00, 90.00, 90.00 degrees
Space group Im-3 (No. 204)
Unique sites:
Pm1 0.000 0.186 0.304
Hg1 0.000 0.000 0.000
Rh1 0.000 0.368 0.500

Computed properties:
The magnetization comes out at 0.0000 μB/atom. The polymorph energy (0 for the lowest one) is 0 meV/atom. For the calculated volume, the calculation gives 27.30 Å³/atom. The calculation puts the calculated formation energy at -0.5198 eV per atom.



## Pm8Hg2Rh (PBE)

Data for a geometry-optimized Pm8Hg2Rh structure.

Cell lengths 18.205, 5.257, 6.989 Å; angles 90.00, 101.10, 90.00 degrees
Space group C2/m (No. 12)
Unique sites:
Pm1 0.023 0.000 0.277
Pm2 0.088 0.500 0.941
Pm3 0.151 0.500 0.464
Pm4 0.201 0.000 0.813
Hg1 0.192 0.000 0.242
Rh1 0.000 0.500 0.500

Computed properties:
The magnetization comes out at 0.0000 μB/atom. The polymorph energy (0 for the lowest one) is 0 meV/atom. For the calculated volume, the calculation gives 29.84 Å³/atom. The calculation puts the calculated formation energy at -0.2923 eV per atom.



## PmHgRh2 (PBE)

Data for a geometry-optimized PmHgRh2 structure.

Cell lengths 4.452, 4.452, 3.815 Å; angles 90.00, 90.00, 90.00 degrees
Space group P4/mmm (No. 123)
Unique sites:
Pm1 0.000 0.000 0.000
Hg1 0.500 0.500 0.000
Rh1 0.000 0.500 0.500

Computed properties:
The magnetization comes out at 0.0000 μB/atom. The polymorph energy (0 for the lowest one) is 0 meV/atom. For the calculated volume, the calculation gives 18.90 Å³/atom. The calculation puts the calculated formation energy at -0.4662 eV per atom.



## Pm2HgSb3Rh4 (PBE)

Data for a geometry-optimized Pm2HgSb3Rh4 structure.

Cell lengths 4.412, 4.412, 11.014 Å; angles 90.00, 90.00, 90.00 degrees
Space group P-4m2 (No. 115)
Unique sites:
Pm1 0.000 0.500 0.248
Hg1 0.500 0.500 0.000
Sb1 0.000 0.000 0.000
Sb2 0.000 0.500 0.631
Rh1 0.000 0.000 0.500
Rh2 0.000 0.500 0.859
Rh3 0.500 0.500 0.500

Computed properties:
The magnetization comes out at 0.0000 μB/atom. For the calculated volume, the calculation gives 21.44 Å³/atom.



## PmScHgRh (PBE)

Data for a geometry-optimized PmScHgRh structure.

Cell lengths 7.066, 7.066, 7.066 Å; angles 90.00, 90.00, 90.00 degrees
Space group F-43m (No. 216)
Unique sites:
Pm1 0.000 0.000 0.000
Sc1 0.000 0.000 0.500
Hg1 0.250 0.250 0.750
Rh1 0.250 0.250 0.250

Computed properties:
The magnetization comes out at 0.0000 μB/atom. For the calculated volume, the calculation gives 22.05 Å³/atom. The calculation puts the calculated formation energy at -0.5283 eV per atom.



## Pm3SiHg2Rh3 (PBE)

Data for a geometry-optimized Pm3SiHg2Rh3 structure.

Cell lengths 7.7706, 7.7706, 3.6752 Å; angles 90.00, 90.00, 120.00 degrees
Space group P-62m (No. 189)
Unique sites:
Pm1 0.0000 0.3768 0.0000
Si1 0.0000 0.0000 0.0000
Hg1 0.3333 0.6667 0.5000
Rh1 0.0000 0.7835 0.5000

Computed properties:
The magnetization comes out at 0.0000 μB/atom. For the calculated volume, the calculation gives 21.35 Å³/atom.



## Pm2Sn4HgRh3 (PBE)

Data for a geometry-optimized Pm2Sn4HgRh3 structure.

Cell lengths 4.529, 4.529, 11.050 Å; angles 90.00, 90.00, 90.00 degrees
Space group P-4m2 (No. 115)
Unique sites:
Pm1 0.000 0.500 0.239
Sn1 0.000 0.000 0.000
Sn2 0.000 0.500 0.645
Sn3 0.500 0.500 0.000
Hg1 0.000 0.000 0.500
Rh1 0.000 0.500 0.876
Rh2 0.500 0.500 0.500

Computed properties:
The magnetization comes out at 0.0000 μB/atom. For the calculated volume, the calculation gives 22.67 Å³/atom. The calculation puts the calculated formation energy at -0.5684 eV per atom.



## PmSnHgRh (PBE)

Data for a geometry-optimized PmSnHgRh structure.

Cell lengths 7.081, 7.081, 7.081 Å; angles 90.00, 90.00, 90.00 degrees
Space group F-43m (No. 216)
Unique sites:
Pm1 0.000 0.000 0.000
Sn1 0.000 0.000 0.500
Hg1 0.250 0.250 0.750
Rh1 0.250 0.250 0.250

Computed properties:
The magnetization comes out at 0.0000 μB/atom. For the calculated volume, the calculation gives 22.19 Å³/atom. The calculation puts the calculated formation energy at -0.4154 eV per atom.



## Pm2Sn3HgRh4 (PBE)

Data for a geometry-optimized Pm2Sn3HgRh4 structure.

Cell lengths 4.389, 4.389, 11.231 Å; angles 90.00, 90.00, 90.00 degrees
Space group P-4m2 (No. 115)
Unique sites:
Pm1 0.000 0.500 0.249
Sn1 0.000 0.500 0.873
Sn2 0.500 0.500 0.500
Hg1 0.000 0.000 0.500
Rh1 0.000 0.000 0.000
Rh2 0.000 0.500 0.644
Rh3 0.500 0.500 0.000

Computed properties:
The magnetization comes out at 0.0000 μB/atom. For the calculated volume, the calculation gives 21.64 Å³/atom. The calculation puts the calculated formation energy at -0.5888 eV per atom.



## TbPmHgRh (PBE)

Data for a geometry-optimized TbPmHgRh structure.

Cell lengths 7.253, 7.253, 7.253 Å; angles 90.00, 90.00, 90.00 degrees
Space group F-43m (No. 216)
Unique sites:
Tb1 0.000 0.000 0.000
Pm1 0.000 0.000 0.500
Hg1 0.250 0.250 0.750
Rh1 0.250 0.250 0.250

Computed properties:
The magnetization comes out at 0.0000 μB/atom. For the calculated volume, the calculation gives 23.85 Å³/atom. The calculation puts the calculated formation energy at -0.5660 eV per atom.



## PmThHgRh (PBE)

Data for a geometry-optimized PmThHgRh structure.

Cell lengths 7.368, 7.368, 7.368 Å; angles 90.00, 90.00, 90.00 degrees
Space group F-43m (No. 216)
Unique sites:
Pm1 0.000 0.000 0.000
Th1 0.000 0.000 0.500
Hg1 0.250 0.250 0.750
Rh1 0.250 0.250 0.250

Computed properties:
The magnetization comes out at 0.0000 μB/atom. The polymorph energy (0 for the lowest one) is 125 meV/atom. For the calculated volume, the calculation gives 25.00 Å³/atom. The calculation puts the calculated formation energy at -0.4375 eV per atom.



| no. | VASP energy (eV per atom) | density of states at the Fermi level (states/eV/atom) |
| --- | --- | --- |
| 1 | -5.776 | 0.664 |
| 2 | -5.394 | 1.037 |
| 3 | -5.348 | 0.585 |
| 4 | -4.412 | 1.094 |
| 5 | -5.257 | 0.558 |
| 6 | -5.740 | 0.769 |
| 7 | -4.437 | 1.067 |
| 8 | -4.468 | 0.441 |
| 9 | -3.418 | 0.798 |
| 10 | -5.651 | 0.712 |
| 11 | -4.795 | 0.701 |
| 12 | -4.730 | 0.458 |
| 13 | -5.858 | 1.017 |
| 14 | -4.470 | 0.872 |
| 15 | -5.405 | 0.782 |
| 16 | -5.842 | 0.567 |
| 17 | -5.212 | 0.561 |
| 18 | -5.342 | 0.551 |
| 19 | -5.355 | 0.681 |
| 20 | -4.517 | 0.728 |
| 21 | -5.711 | 0.775 |
| 22 | -4.825 | 0.582 |
| 23 | -5.393 | 0.942 |